P | Compound: VBi3Cl
Source: Alexandria
Functional: PBE-GGA
Structure: relaxed

It has space group Pm-3m (No. 221), with a = 5.428 Å, b = 5.428 Å, c = 5.428 Å, α = 90.00°, β = 90.00° and γ = 90.00°. The inequivalent atoms are V at (0.000, 0.000, 0.000), Bi at (0.000, 0.500, 0.500) and Cl at (0.500, 0.500, 0.500).

The crystal system is cubic.

***

Q | Compound: VBi3Cl
Source: Alexandria
Functional: PBE-GGA
Structure: relaxed

It has space group Pm-3m (No. 221), with a = 5.249 Å, b = 5.249 Å, c = 5.249 Å, α = 90.00°, β = 90.00° and γ = 90.00°. The inequivalent atoms are V at (0.000, 0.000, 0.000), Bi at (0.000, 0.000, 0.500) and Cl at (0.500, 0.500, 0.500).

The crystal system is cubic.

***

Short version: P is the least stable of them.

***

P | Compound: V2BiCl
Source: Alexandria
Functional: PBE-GGA
Structure: relaxed

It has space group I-42d (No. 122), with a = 5.159 Å, b = 5.159 Å, c = 14.698 Å, α = 90.00°, β = 90.00° and γ = 90.00°. The inequivalent atoms are V at (0.165, 0.250, 0.125), Bi at (0.000, 0.000, 0.500) and Cl at (0.000, 0.000, 0.000).

The crystal system is tetragonal.

***

Q | Compound: V2BiCl
Source: Alexandria
Functional: PBE-GGA
Structure: relaxed

It has space group Fm-3m (No. 225), with a = 6.871 Å, b = 6.871 Å, c = 6.871 Å, α = 90.00°, β = 90.00° and γ = 90.00°. The inequivalent atoms are V at (0.250, 0.250, 0.250), Bi at (0.000, 0.000, 0.000) and Cl at (0.000, 0.000, 0.500).

The crystal system is cubic.

***

Short version: Q is the least stable of them.

***

P | Compound: V3BiCl
Source: Alexandria
Functional: PBE-GGA
Structure: relaxed

It has space group Pm-3m (No. 221), with a = 4.362 Å, b = 4.362 Å, c = 4.362 Å, α = 90.00°, β = 90.00° and γ = 90.00°. The inequivalent atoms are V at (0.000, 0.000, 0.500), Bi at (0.500, 0.500, 0.500) and Cl at (0.000, 0.000, 0.000).

The crystal system is cubic.

***

Q | Compound: V3BiCl
Source: Alexandria
Functional: PBE-GGA
Structure: relaxed

It has space group Pm-3m (No. 221), with a = 5.349 Å, b = 5.349 Å, c = 5.349 Å, α = 90.00°, β = 90.00° and γ = 90.00°. The inequivalent atoms are V at (0.000, 0.000, 0.500), Bi at (0.000, 0.000, 0.000) and Cl at (0.500, 0.500, 0.500).

The crystal system is cubic.

***

Short version: Q is the least stable of them.

***

P | Compound: BiW2Cl
Source: Alexandria
Functional: PBE-GGA
Structure: relaxed

It has space group Fm-3m (No. 225), with a = 6.645 Å, b = 6.645 Å, c = 6.645 Å, α = 90.00°, β = 90.00° and γ = 90.00°. The inequivalent atoms are Bi at (0.000, 0.000, 0.000), W at (0.250, 0.250, 0.250) and Cl at (0.000, 0.000, 0.500).

The crystal system is cubic.

***

Q | Compound: BiW2Cl
Source: Alexandria
Functional: PBE-GGA
Structure: relaxed

It has space group I-42d (No. 122), with a = 4.547 Å, b = 4.547 Å, c = 16.673 Å, α = 90.00°, β = 90.00° and γ = 90.00°. The inequivalent atoms are Bi at (0.000, 0.000, 0.000), W at (0.153, 0.250, 0.625) and Cl at (0.000, 0.000, 0.500).

The crystal system is tetragonal.

***

Short version: P is the least stable of them.

***

P | Compound: Bi3WCl
Source: Alexandria
Functional: PBE-GGA
Structure: relaxed

It has space group Pm-3m (No. 221), with a = 5.357 Å, b = 5.357 Å, c = 5.357 Å, α = 90.00°, β = 90.00° and γ = 90.00°. The inequivalent atoms are Bi at (0.000, 0.000, 0.500), W at (0.500, 0.500, 0.500) and Cl at (0.000, 0.000, 0.000).

The crystal system is cubic.

***

Q | Compound: Bi3WCl
Source: Alexandria
Functional: PBE-GGA
Structure: relaxed

It has space group Pm-3m (No. 221), with a = 5.394 Å, b = 5.394 Å, c = 5.394 Å, α = 90.00°, β = 90.00° and γ = 90.00°. The inequivalent atoms are Bi at (0.000, 0.000, 0.500), W at (0.000, 0.000, 0.000) and Cl at (0.500, 0.500, 0.500).

The crystal system is cubic.

***

Short version: P is the least stable of them.

***

P | Compound: Y2BiCl
Source: Alexandria
Functional: PBE-GGA
Structure: relaxed

It has space group I-42d (No. 122), with a = 6.416 Å, b = 6.416 Å, c = 13.890 Å, α = 90.00°, β = 90.00° and γ = 90.00°. The inequivalent atoms are Y at (0.211, 0.250, 0.125), Bi at (0.000, 0.000, 0.500) and Cl at (0.000, 0.000, 0.000).

The crystal system is tetragonal.

***

Q | Compound: Y2BiCl
Source: Alexandria
Functional: PBE-GGA
Structure: relaxed

It has space group Fm-3m (No. 225), with a = 7.497 Å, b = 7.497 Å, c = 7.497 Å, α = 90.00°, β = 90.00° and γ = 90.00°. The inequivalent atoms are Y at (0.250, 0.250, 0.250), Bi at (0.000, 0.000, 0.000) and Cl at (0.000, 0.000, 0.500).

The crystal system is cubic.

***

Short version: P is the least stable of them.